No. 1
Computed, not measured: crystalline ScPt at its relaxed geometry at the PBE level of DFT.

```
4
Lattice="-3.177 0.579 -1.809 0.286 -3.339 -1.572 -2.861 -2.270 4.299" Properties=species:S:1:pos:R:3 pbc="T T T"
Pt -1.250 -1.108 -0.053
Pt -4.502 -3.921 0.972
Sc -2.676 -2.239 2.090
Sc -3.076 -2.790 -1.171
```

- N(E_F): 2.27 states/eV per cell
- Electronic total energy: -7.257 eV per atom

---

No. 2
Computed, not measured: crystalline ScPt at its relaxed geometry at the PBE level of DFT.

```
6
Lattice="-0.786 -4.268 -2.981 0.434 -1.687 -4.968 6.103 -3.826 -1.220" Properties=species:S:1:pos:R:3 pbc="T T T"
Pt 5.707 -9.295 -8.565
Pt 3.768 -6.711 -6.400
Pt 1.609 -4.972 -5.468
Sc 1.810 -3.374 -3.270
Sc 3.304 -8.218 -8.641
Sc 5.848 -4.926 -2.804
```

- N(E_F): 4.20 states/eV per cell
- Electronic total energy: -7.311 eV per atom

---

No. 3
Computed, not measured: crystalline ScPt5 at its relaxed geometry at the PBE level of DFT.

```
6
Lattice="4.937 0.000 0.000 -2.468 4.275 0.000 0.000 0.000 4.596" Properties=species:S:1:pos:R:3 pbc="T T T"
Pt 0.029 2.799 0.000
Pt 4.878 0.000 0.000
Pt 2.498 1.476 0.000
Pt 1.646 2.850 2.298
Pt -0.823 1.425 2.298
Sc 1.646 0.000 2.298
```

- N(E_F): 5.91 states/eV per cell
- Electronic total energy: -6.725 eV per atom

---

No. 4
Computed, not measured: crystalline ScPt at its relaxed geometry at the PBE level of DFT.

```
8
Lattice="-4.969 1.120 1.470 -1.746 -4.231 -2.676 0.607 -2.992 4.334" Properties=species:S:1:pos:R:3 pbc="T T T"
Sc -3.071 -3.849 3.715
Sc -5.319 -2.689 1.588
Sc -3.313 -5.157 0.690
Sc -0.512 -0.511 0.262
Pt -4.367 -1.026 3.651
Pt -4.434 -3.487 -1.281
Pt -0.836 -5.117 2.564
Pt -2.578 -2.576 1.320
```

- N(E_F): 2.02 states/eV per cell
- Electronic total energy: -7.335 eV per atom

---

No. 5
Computed, not measured: crystalline Sc2Pt at its relaxed geometry at the PBE level of DFT.

```
24
Lattice="8.797 0.000 0.000 4.399 7.618 0.000 4.399 2.539 7.183" Properties=species:S:1:pos:R:3 pbc="T T T"
Sc 2.771 3.479 0.467
Sc 4.399 4.418 3.124
Sc 8.797 1.879 1.328
Sc 11.568 6.679 1.328
Sc 2.771 1.600 3.124
Sc 10.996 6.349 4.489
Sc 6.598 6.349 4.489
Sc 6.026 3.479 0.467
Sc 6.026 6.679 1.328
Sc 8.797 2.539 4.489
Sc 8.797 5.079 0.898
Sc 6.026 1.600 3.124
Sc 6.026 3.479 5.854
Sc 4.399 0.661 0.467
Sc 11.568 3.479 5.854
Sc 8.797 8.279 5.854
Pt 13.196 5.752 6.047
Pt 8.797 5.079 5.571
Pt 13.196 7.618 3.408
Pt 14.812 8.552 6.047
Pt 7.181 4.146 2.932
Pt 10.413 4.146 2.932
Pt 8.797 6.945 2.932
Pt 11.579 8.552 6.047
```

- N(E_F): 21.41 states/eV per cell
- Electronic total energy: -7.195 eV per atom

---

No. 6
Computed, not measured: crystalline ScPt2 at its relaxed geometry at the PBE level of DFT.

```
9
Lattice="3.873 -6.708 0.000 3.873 6.708 0.000 0.000 0.000 2.928" Properties=species:S:1:pos:R:3 pbc="T T T"
Pt 2.824 0.000 1.464
Pt 5.427 0.000 0.000
Pt 1.160 2.008 0.000
Pt 2.461 -4.263 1.464
Pt 2.461 4.263 1.464
Pt 1.160 -2.008 0.000
Sc 3.873 -2.236 0.000
Sc 3.873 2.236 0.000
Sc 0.000 0.000 1.464
```

- N(E_F): 3.62 states/eV per cell
- Electronic total energy: -7.045 eV per atom

---

No. 7
Computed, not measured: crystalline ScPt at its relaxed geometry at the PBE level of DFT.

```
12
Lattice="-2.754 2.599 6.312 -6.512 -3.041 -1.589 2.046 -6.179 3.437" Properties=species:S:1:pos:R:3 pbc="T T T"
Sc -0.605 -3.850 1.321
Sc 0.158 -3.335 5.734
Sc -5.322 0.429 3.940
Sc -0.865 -0.245 4.015
Sc -3.861 -5.370 0.527
Sc -3.945 -0.871 0.783
Pt 0.335 -2.440 3.297
Pt -1.042 -1.140 6.453
Pt -1.721 -6.155 1.783
Pt -6.261 -0.981 1.964
Pt -3.005 0.539 2.759
Pt -2.745 -3.065 0.065
```

- N(E_F): 14.28 states/eV per cell
- Electronic total energy: -6.450 eV per atom

---

No. 8
Computed, not measured: crystalline ScPt3 at its relaxed geometry at the PBE level of DFT.

```
4
Lattice="-0.983 2.080 -3.281 -2.417 -2.976 -1.163 -3.041 1.694 1.985" Properties=species:S:1:pos:R:3 pbc="T T T"
Pt -2.729 -0.641 0.411
Pt 0.000 0.000 0.000
Pt -2.012 1.887 -0.648
Sc -1.700 -0.448 -2.222
```

- N(E_F): 3.67 states/eV per cell
- Electronic total energy: -7.177 eV per atom

---

No. 9
Computed, not measured: crystalline Sc2Pt at its relaxed geometry at the PBE level of DFT.

```
3
Lattice="4.596 0.000 0.000 0.000 4.596 0.000 0.000 0.000 3.205" Properties=species:S:1:pos:R:3 pbc="T T T"
Sc 0.000 2.298 1.603
Sc 2.298 0.000 1.603
Pt 0.000 0.000 0.000
```

- N(E_F): 3.51 states/eV per cell
- Electronic total energy: -6.950 eV per atom

---

No. 10
Computed, not measured: crystalline ScPt2 at its relaxed geometry at the PBE level of DFT.

```
6
Lattice="4.112 0.000 0.000 -2.056 4.523 0.005 0.000 1.519 5.410" Properties=species:S:1:pos:R:3 pbc="T T T"
Sc 0.000 0.792 2.567
Sc 2.056 2.062 0.441
Pt 0.000 1.793 5.208
Pt 0.000 3.689 1.506
Pt 0.000 4.448 4.211
Pt 2.056 2.580 3.209
```

- N(E_F): 2.56 states/eV per cell
- Electronic total energy: -7.260 eV per atom

---

No. 11
Computed, not measured: crystalline ScPt3 at its relaxed geometry at the PBE level of DFT.

```
4
Lattice="2.976 0.000 0.000 -1.488 4.732 -0.003 0.000 -0.997 4.687" Properties=species:S:1:pos:R:3 pbc="T T T"
Sc 1.488 2.116 1.170
Pt 0.000 -0.975 4.677
Pt 0.000 1.618 3.514
Pt 0.000 4.211 2.350
```

- N(E_F): 3.28 states/eV per cell
- Electronic total energy: -6.876 eV per atom

---

No. 12
Computed, not measured: crystalline ScPt at its relaxed geometry at the PBE level of DFT.

```
4
Lattice="3.710 0.000 0.000 -1.855 3.213 0.000 0.000 0.000 6.804" Properties=species:S:1:pos:R:3 pbc="T T T"
Sc 0.000 0.000 3.402
Sc 0.000 0.000 0.000
Pt 1.855 1.071 5.103
Pt 0.000 2.142 1.701
```

- N(E_F): 4.18 states/eV per cell
- Electronic total energy: -7.173 eV per atom

---

No. 13
Computed, not measured: crystalline ScPt3 at its relaxed geometry at the PBE level of DFT.

```
4
Lattice="4.001 0.000 0.000 -2.000 4.551 0.004 0.000 1.756 3.595" Properties=species:S:1:pos:R:3 pbc="T T T"
Sc 0.000 2.714 0.901
Pt 2.000 0.878 1.798
Pt 2.000 3.592 2.698
Pt 0.000 0.000 0.000
```

- N(E_F): 5.61 states/eV per cell
- Electronic total energy: -7.029 eV per atom

---

No. 14
Computed, not measured: crystalline ScPt2 at its relaxed geometry at the PBE level of DFT.

```
3
Lattice="4.506 0.000 0.000 -2.253 3.902 0.000 0.000 0.000 2.886" Properties=species:S:1:pos:R:3 pbc="T T T"
Pt 0.000 2.601 2.041
Pt 2.253 1.301 0.845
Sc 4.506 0.000 0.000
```

- N(E_F): 1.27 states/eV per cell
- Electronic total energy: -6.992 eV per atom

---

No. 15
Computed, not measured: crystalline ScPt4 at its relaxed geometry at the PBE level of DFT.

```
5
Lattice="-3.163 3.163 2.034 3.163 -3.163 2.034 3.163 3.163 -2.034" Properties=species:S:1:pos:R:3 pbc="T T T"
Pt 1.251 2.550 0.000
Pt 1.911 0.612 2.034
Pt 3.775 1.251 0.000
Pt -0.612 1.911 2.034
Sc 0.000 0.000 0.000
```

- N(E_F): 4.16 states/eV per cell
- Offset from the most stable computed form: 0.071 eV/atom
- Electronic total energy: -6.824 eV per atom

---

No. 16
Computed, not measured: crystalline ScPt4 at its relaxed geometry at the PBE level of DFT.

```
5
Lattice="-1.864 1.864 6.554 1.864 -1.864 6.554 1.864 1.864 -6.554" Properties=species:S:1:pos:R:3 pbc="T T T"
Pt 0.000 0.000 5.292
Pt 1.864 0.000 3.277
Pt 0.000 1.864 3.277
Pt 0.000 0.000 7.816
Sc 0.000 0.000 0.000
```

- N(E_F): 6.58 states/eV per cell
- Offset from the most stable computed form: 0.322 eV/atom
- Electronic total energy: -6.573 eV per atom

---

No. 17
Computed, not measured: crystalline Sc8Pt at its relaxed geometry at the PBE level of DFT.

```
9
Lattice="1.494 -4.925 5.867 -4.443 5.090 -3.907 -1.522 -5.789 -5.008" Properties=species:S:1:pos:R:3 pbc="T T T"
Pt 0.000 0.000 0.000
Sc -0.582 -1.423 2.449
Sc -2.375 -1.633 -0.230
Sc -0.009 -3.615 0.290
Sc -2.013 -0.236 -3.008
Sc -2.096 -3.992 -2.818
Sc -2.367 1.587 -0.488
Sc -3.952 -0.463 -5.907
Sc -0.018 -7.100 0.569
```

- N(E_F): 13.36 states/eV per cell
- Electronic total energy: -6.517 eV per atom

---

No. 18
Computed, not measured: crystalline ScPt2 at its relaxed geometry at the PBE level of DFT.

```
3
Lattice="3.876 0.000 0.000 0.000 3.876 0.000 0.000 0.000 3.918" Properties=species:S:1:pos:R:3 pbc="T T T"
Pt 0.000 1.938 1.959
Pt 1.938 0.000 1.959
Sc 0.000 0.000 0.000
```

- N(E_F): 1.12 states/eV per cell
- Electronic total energy: -6.947 eV per atom

---

No. 19
Computed, not measured: crystalline Sc6Pt7 at its relaxed geometry at the PBE level of DFT.

```
13
Lattice="-5.847 0.929 -8.009 -6.606 -4.141 -6.197 -9.196 0.010 -3.825" Properties=species:S:1:pos:R:3 pbc="T T T"
Sc -14.455 -2.138 -12.039
Sc -20.398 -3.018 -16.989
Sc -3.629 -0.537 -3.023
Sc -18.019 -2.666 -15.008
Sc -1.250 -0.185 -1.041
Sc -7.194 -1.064 -5.992
Pt -13.604 -1.336 -9.438
Pt -10.824 -1.601 -9.015
Pt -12.326 -3.385 -10.608
Pt -8.045 -1.867 -8.593
Pt -9.323 0.183 -7.422
Pt -11.951 -0.883 -11.503
Pt -9.698 -2.320 -6.528
```

- N(E_F): 7.41 states/eV per cell
- Electronic total energy: -7.172 eV per atom

---

No. 20
Computed, not measured: crystalline ScPt2 at its relaxed geometry at the PBE level of DFT.

```
12
Lattice="-4.163 2.429 4.058 -1.197 -5.771 2.227 4.575 0.700 4.275" Properties=species:S:1:pos:R:3 pbc="T T T"
Pt -0.996 1.904 6.480
Pt 0.211 -4.546 4.079
Pt -0.484 -1.629 6.512
Pt -0.301 -1.013 4.048
Pt -3.603 0.015 4.937
Pt -3.091 -3.518 4.968
Pt 2.818 -2.657 5.623
Pt 2.306 0.876 5.591
Sc -2.680 -1.671 3.142
Sc 1.689 -2.535 3.251
Sc 0.206 1.565 4.166
Sc 0.000 0.000 0.000
```

- N(E_F): 8.16 states/eV per cell
- Electronic total energy: -6.466 eV per atom

---

No. 21
Computed, not measured: crystalline Sc3Pt4 at its relaxed geometry at the PBE level of DFT.

```
7
Lattice="2.696 -4.670 0.000 2.696 4.670 0.000 0.000 0.000 5.000" Properties=species:S:1:pos:R:3 pbc="T T T"
Sc 1.348 -2.335 0.000
Sc 1.348 2.335 0.000
Sc 2.696 0.000 0.000
Pt 2.696 1.557 2.500
Pt 2.696 -1.557 2.500
Pt 0.000 0.000 1.281
Pt 0.000 0.000 3.719
```

- N(E_F): 5.98 states/eV per cell
- Offset from the most stable computed form: 0.799 eV/atom
- Electronic total energy: -6.575 eV per atom

---

No. 22
Computed, not measured: crystalline Sc4Pt3 at its relaxed geometry at the PBE level of DFT.

```
7
Lattice="5.944 8.392 3.297 1.363 10.492 2.163 -4.437 -9.841 -0.301" Properties=species:S:1:pos:R:3 pbc="T T T"
Pt 2.213 5.719 1.653
Pt 0.000 0.000 0.000
Pt 5.094 13.166 3.806
Sc 4.147 10.717 3.098
Sc 3.160 8.168 2.361
Sc 1.219 3.151 0.911
Sc 6.088 15.734 4.549
```

- N(E_F): 3.25 states/eV per cell
- Offset from the most stable computed form: 0.184 eV/atom
- Electronic total energy: -7.137 eV per atom

---

No. 23
Computed, not measured: crystalline ScPt5 at its relaxed geometry at the PBE level of DFT.

```
6
Lattice="-2.958 5.618 -3.696 1.578 -4.187 5.826 3.803 2.513 0.776" Properties=species:S:1:pos:R:3 pbc="T T T"
Pt 0.046 -0.876 2.610
Pt 1.012 2.403 1.035
Pt 1.542 -4.111 5.752
Pt 2.488 -0.788 4.134
Pt -1.479 2.420 -0.590
Sc -0.534 5.745 -2.211
```

- N(E_F): 5.05 states/eV per cell
- Electronic total energy: -6.658 eV per atom

---

No. 24
Computed, not measured: crystalline ScPt2 at its relaxed geometry at the PBE level of DFT.

```
12
Lattice="3.992 0.000 0.000 0.000 3.992 0.000 -1.996 -1.996 12.526" Properties=species:S:1:pos:R:3 pbc="T T T"
Sc 0.000 1.996 4.335
Sc 0.000 1.996 8.191
Sc 0.000 0.000 1.928
Sc 1.996 1.996 10.598
Pt 1.996 1.996 2.096
Pt 1.996 1.996 6.248
Pt 1.996 0.000 12.511
Pt 1.996 0.000 4.167
Pt 1.996 0.000 8.359
Pt 1.996 0.000 0.015
Pt 0.000 0.000 6.278
Pt 0.000 0.000 10.430
```

- N(E_F): 5.09 states/eV per cell
- Electronic total energy: -7.294 eV per atom

---

No. 25
Computed, not measured: crystalline ScPt at its relaxed geometry at the PBE level of DFT.

```
6
Lattice="-2.311 -0.260 5.778 2.622 4.088 3.900 -3.180 -0.400 -5.341" Properties=species:S:1:pos:R:3 pbc="T T T"
Sc 0.869 3.183 2.261
Sc -2.544 1.590 5.054
Sc -1.639 0.498 1.909
Pt -4.332 -0.005 1.665
Pt -2.834 1.537 -0.517
Pt -1.794 3.042 2.932
```

- N(E_F): 4.22 states/eV per cell
- Electronic total energy: -7.254 eV per atom

---

no.,ΔE_f (eV/f.u.)
1,-2.14
2,-2.25
3,-3.82
4,-2.30
5,-2.88
6,-2.72
7,-0.53
8,-4.25
9,-2.14
10,-3.37
11,-3.05
12,-1.97
13,-3.66
14,-2.56
15,-3.63
16,-2.37
17,-1.96
18,-2.43
19,-12.96
20,-0.99
21,-2.86
22,-6.51
23,-3.41
24,-3.47
25,-2.14